## a
The following is a GGA-PBE calculation of a relaxed structure of ScPd8Pt2, from the Alexandria database.

Cell: 4.6979 6.6979 6.6979 Å, 84.57 78.71 78.71°
With the nearest neighbours (Å) after each atom.
Atoms (fractional coordinates):
Pt (0.5510, 0.8548, 0.8548)  2 Sc 2.61-2.85, 5 Pd 2.64-2.67, 1 Pt 2.79
Pt (0.4490, 0.1452, 0.1452)  2 Sc 2.61-2.85, 5 Pd 2.64-2.67, 1 Pt 2.79
Pd (0.2120, 0.8360, 0.3336)  4 Pd 2.63-2.93, 1 Pt 2.64, 1 Sc 2.68
Pd (0.7089, 0.5766, 0.5766)  1 Pt 2.66, 7 Pd 2.74-2.88
Pd (0.7880, 0.1640, 0.6664)  4 Pd 2.63-2.93, 1 Pt 2.64, 1 Sc 2.68
Pd (0.7880, 0.6664, 0.1640)  4 Pd 2.63-2.93, 1 Pt 2.64, 1 Sc 2.68
Pd (0.1254, 0.7248, 0.7248)  5 Pd 2.63-2.88, 1 Sc 2.63, 2 Pt 2.65-2.67
Pd (0.2911, 0.4234, 0.4234)  1 Pt 2.66, 7 Pd 2.74-2.88
Pd (0.2120, 0.3336, 0.8360)  4 Pd 2.63-2.93, 1 Pt 2.64, 1 Sc 2.68
Pd (0.8746, 0.2752, 0.2752)  5 Pd 2.63-2.88, 1 Sc 2.63, 2 Pt 2.65-2.67
Sc (0.0000, 0.0000, 0.0000)  4 Pt 2.61-2.85, 6 Pd 2.63-2.68

Fermi-level density of states = 17.4 states/eV/cell


## b
The following is a GGA-PBE calculation of a relaxed structure of ScPd8Pt2, from the Alexandria database.

Cell: 4.9289 6.0497 7.1991 Å, 112.58 107.33 96.07°
With the nearest neighbours (Å) after each atom.
Atoms (fractional coordinates):
Pd (0.2739, 0.5924, 0.0000)  1 Sc 2.60, 6 Pd 2.60-2.81, 2 Pt 2.70
Pd (0.7261, 0.4076, 0.0000)  1 Sc 2.60, 6 Pd 2.60-2.81, 2 Pt 2.70
Pd (0.2032, 0.3249, 0.2281)  6 Pd 2.61-2.82, 2 Pt 2.71-2.73, 1 Sc 2.87
Pd (0.9751, 0.0968, 0.7719)  6 Pd 2.61-2.82, 2 Pt 2.71-2.73, 1 Sc 2.87
Pd (0.0249, 0.9032, 0.2281)  6 Pd 2.61-2.82, 2 Pt 2.71-2.73, 1 Sc 2.87
Pd (0.7147, 0.2147, 0.4293)  1 Sc 2.65, 2 Pt 2.72, 4 Pd 2.80-2.81
Pd (0.2853, 0.7853, 0.5707)  1 Sc 2.65, 2 Pt 2.72, 4 Pd 2.80-2.81
Pd (0.7968, 0.6751, 0.7719)  6 Pd 2.61-2.82, 2 Pt 2.71-2.73, 1 Sc 2.87
Pt (0.6919, 0.6919, 0.3838)  8 Pd 2.70-2.73
Pt (0.3081, 0.3081, 0.6162)  8 Pd 2.70-2.73
Sc (0.5000, 0.0000, 0.0000)  8 Pd 2.60-2.87

Fermi-level density of states = 14.4 states/eV/cell


Most stable of them? b.


## a
The following is a GGA-PBE calculation of a relaxed structure of ScPd2Pt2, from the Alexandria database.

Cell: 3.7004 3.7004 7.0573 Å, 74.80 74.80 90.00°
With the nearest neighbours (Å) after each atom.
Atoms (fractional coordinates):
Pd (0.2500, 0.7500, 0.5000)  4 Pd 2.62, 4 Pt 2.73
Pd (0.7500, 0.2500, 0.5000)  4 Pd 2.62, 4 Pt 2.73
Pt (0.5968, 0.5968, 0.8065)  1 Pt 2.54, 4 Pd 2.73
Pt (0.4032, 0.4032, 0.1935)  1 Pt 2.54, 4 Pd 2.73
Sc (0.0000, 0.0000, 0.0000)  8 Pt 2.91

Fermi-level density of states = 9.5 states/eV/cell


## b
The following is a GGA-PBE calculation of a relaxed structure of ScPd2Pt2, from the Alexandria database.

Cell: 6.8458 6.8458 3.7060 Å, 90.00 90.00 90.00°
With the nearest neighbours (Å) after each atom.
Atoms (fractional coordinates):
Pt (0.8610, 0.6390, 0.0000)  2 Sc 2.65, 6 Pd 2.69-2.77, 1 Pt 2.69
Pt (0.1390, 0.3610, 0.0000)  2 Sc 2.65, 6 Pd 2.69-2.77, 1 Pt 2.69
Pt (0.3610, 0.8610, 0.0000)  2 Sc 2.65, 6 Pd 2.69-2.77, 1 Pt 2.69
Pt (0.6390, 0.1390, 0.0000)  2 Sc 2.65, 6 Pd 2.69-2.77, 1 Pt 2.69
Pd (0.6603, 0.8397, 0.5000)  6 Pt 2.69-2.77
Pd (0.1603, 0.6603, 0.5000)  6 Pt 2.69-2.77
Pd (0.3397, 0.1603, 0.5000)  6 Pt 2.69-2.77
Pd (0.8397, 0.3397, 0.5000)  6 Pt 2.69-2.77
Sc (0.5000, 0.5000, 0.0000)  4 Pt 2.65
Sc (0.0000, 0.0000, 0.0000)  4 Pt 2.65

Fermi-level density of states = 10.6 states/eV/cell


## c
The following is a GGA-PBE calculation of a relaxed structure of ScPd2Pt2, from the Alexandria database.

Cell: 5.0050 5.0050 5.2350 Å, 118.56 118.56 90.00°
With the nearest neighbours (Å) after each atom.
Atoms (fractional coordinates):
Sc (0.0000, 0.0000, 0.0000)  2 Pd 2.60
Pd (0.3366, 0.3365, 0.6731)  1 Pd 2.52, 4 Pt 2.59, 1 Sc 2.60
Pd (0.6634, 0.6635, 0.3269)  1 Pd 2.52, 4 Pt 2.59, 1 Sc 2.60
Pt (0.2500, 0.7500, 0.5000)  4 Pd 2.59
Pt (0.7500, 0.2500, 0.5000)  4 Pd 2.59

Fermi-level density of states = 3.9 states/eV/cell


Most stable of them? b.


## a
The following is a GGA-PBE calculation of a relaxed structure of Sc2PdPt4, from the Alexandria database.

Cell: 3.7205 3.7205 9.7065 Å, 101.05 101.05 90.00°
With the nearest neighbours (Å) after each atom.
Atoms (fractional coordinates):
Pt (0.8595, 0.8595, 0.7190)  1 Pd 2.63, 4 Sc 2.75, 4 Pt 2.77
Pt (0.1405, 0.1405, 0.2810)  1 Pd 2.63, 4 Sc 2.75, 4 Pt 2.77
Pt (0.2500, 0.7500, 0.5000)  8 Pt 2.63-2.77
Pt (0.7500, 0.2500, 0.5000)  8 Pt 2.63-2.77
Sc (0.5978, 0.5978, 0.1957)  4 Pt 2.75
Sc (0.4022, 0.4022, 0.8043)  4 Pt 2.75
Pd (0.0000, 0.0000, 0.0000)  2 Pt 2.63

Fermi-level density of states = 3.9 states/eV/cell


## b
The following is a GGA-PBE calculation of a relaxed structure of Sc2PdPt4, from the Alexandria database.

Cell: 4.8441 4.8441 7.4519 Å, 108.97 108.97 90.00°
With the nearest neighbours (Å) after each atom.
Atoms (fractional coordinates):
Pd (0.0000, 0.0000, 0.0000)  6 Pt 2.42-2.64
Pt (0.8009, 0.8009, 0.6018)  1 Sc 2.37, 1 Pd 2.64
Pt (0.1991, 0.1991, 0.3982)  1 Sc 2.37, 1 Pd 2.64
Pt (0.5000, 0.0000, 0.0000)  2 Pd 2.42
Pt (0.0000, 0.5000, 0.0000)  2 Pd 2.42
Sc (0.6217, 0.6217, 0.2433)  1 Pt 2.37
Sc (0.3783, 0.3783, 0.7567)  1 Pt 2.37

Fermi-level density of states = 6.5 states/eV/cell


Most stable of them? a.


## a
The following is a GGA-PBE calculation of a relaxed structure of SiPdPt3, from the Alexandria database.

Cell: 4.4891 4.4891 4.4891 Å, 90.00 90.00 90.00°
With the nearest neighbours (Å) after each atom.
Atoms (fractional coordinates):
Pd (0.5000, 0.5000, 0.5000)  12 Pt 3.17
Si (0.0000, 0.0000, 0.0000)  6 Pt 2.24
Pt (0.0000, 0.0000, 0.5000)  2 Si 2.24
Pt (0.0000, 0.5000, 0.0000)  2 Si 2.24
Pt (0.5000, 0.0000, 0.0000)  2 Si 2.24

Fermi-level density of states = 2.7 states/eV/cell


## b
The following is a GGA-PBE calculation of a relaxed structure of SiPdPt3, from the Alexandria database.

Cell: 4.8253 4.8253 4.8253 Å, 90.00 90.00 90.00°
With the nearest neighbours (Å) after each atom.
Atoms (fractional coordinates):
Pd (0.0000, 0.0000, 0.0000)  6 Pt 2.41
Si (0.5000, 0.5000, 0.5000)  12 Pt 3.41
Pt (0.5000, 0.0000, 0.0000)  2 Pd 2.41
Pt (0.0000, 0.5000, 0.0000)  2 Pd 2.41
Pt (0.0000, 0.0000, 0.5000)  2 Pd 2.41

Fermi-level density of states = 10.4 states/eV/cell


Most stable of them? a.


## a
The following is a GGA-PBE calculation of a relaxed structure of Si2Pd2Pt, from the Alexandria database.

Cell: 6.4543 6.4543 3.5088 Å, 90.00 90.00 90.00°
With the nearest neighbours (Å) after each atom.
Atoms (fractional coordinates):
Si (0.3594, 0.8594, 0.0000)  2 Pt 2.49, 1 Si 2.57, 6 Pd 2.57-2.58
Si (0.1406, 0.3594, 0.0000)  2 Pt 2.49, 1 Si 2.57, 6 Pd 2.57-2.58
Si (0.8594, 0.6406, 0.0000)  2 Pt 2.49, 1 Si 2.57, 6 Pd 2.57-2.58
Si (0.6406, 0.1406, 0.0000)  2 Pt 2.49, 1 Si 2.57, 6 Pd 2.57-2.58
Pt (0.0000, 0.0000, 0.0000)  4 Si 2.49
Pt (0.5000, 0.5000, 0.0000)  4 Si 2.49
Pd (0.6532, 0.8468, 0.5000)  6 Si 2.57-2.58, 1 Pd 2.80
Pd (0.3468, 0.1532, 0.5000)  6 Si 2.57-2.58, 1 Pd 2.80
Pd (0.8468, 0.3468, 0.5000)  6 Si 2.57-2.58, 1 Pd 2.80
Pd (0.1532, 0.6532, 0.5000)  6 Si 2.57-2.58, 1 Pd 2.80

Fermi-level density of states = 1.4 states/eV/cell


## b
The following is a GGA-PBE calculation of a relaxed structure of Si2Pd2Pt, from the Alexandria database.

Cell: 3.7164 5.9268 7.1349 Å, 90.00 105.10 90.00°
With the nearest neighbours (Å) after each atom.
Atoms (fractional coordinates):
Si (0.7846, 0.8415, 0.5693)  3 Pt 2.47-2.53, 4 Pd 2.51-2.58
Si (0.4572, 0.4986, 0.9144)  6 Pd 2.46-2.56, 1 Pt 2.62
Si (0.5428, 0.9986, 0.0856)  6 Pd 2.46-2.56, 1 Pt 2.62
Si (0.2154, 0.3415, 0.4307)  3 Pt 2.47-2.53, 4 Pd 2.51-2.58
Pd (0.1609, 0.9366, 0.3218)  5 Si 2.50-2.58, 1 Pd 2.75, 1 Pt 2.77
Pd (0.8391, 0.4366, 0.6782)  5 Si 2.50-2.58, 1 Pd 2.75, 1 Pt 2.77
Pd (0.0339, 0.2943, 0.0678)  5 Si 2.46-2.56, 1 Pd 2.75
Pd (0.9661, 0.7943, 0.9322)  5 Si 2.46-2.56, 1 Pd 2.75
Pt (0.3545, 0.0634, 0.7090)  4 Si 2.47-2.62
Pt (0.6455, 0.5634, 0.2910)  4 Si 2.47-2.62

Fermi-level density of states = 1.9 states/eV/cell


Most stable of them? b.


## a
The following is a GGA-PBE calculation of a relaxed structure of Si2PdPt, from the Alexandria database.

Cell: 2.9498 2.9498 8.6638 Å, 80.20 80.20 60.00°
With the nearest neighbours (Å) after each atom.
Atoms (fractional coordinates):
Pt (0.5000, 0.5000, 0.5000)  6 Si 2.56
Si (0.9083, 0.9083, 0.2751)  1 Pd 2.34, 3 Pt 2.56
Si (0.0917, 0.0917, 0.7249)  1 Pd 2.34, 3 Pt 2.56
Pd (0.0000, 0.0000, 0.0000)  2 Si 2.34

Fermi-level density of states = 2.0 states/eV/cell


## b
The following is a GGA-PBE calculation of a relaxed structure of Si2PdPt, from the Alexandria database.

Cell: 4.3373 4.3373 4.3373 Å, 60.00 60.00 60.00°
With the nearest neighbours (Å) after each atom.
Atoms (fractional coordinates):
Si (0.2500, 0.2500, 0.2500)  4 Pt 2.66, 4 Pd 2.66
Si (0.7500, 0.7500, 0.7500)  4 Pd 2.66, 4 Pt 2.66
Pt (0.5000, 0.5000, 0.5000)  8 Si 2.66
Pd (0.0000, 0.0000, 0.0000)  8 Si 2.66

Fermi-level density of states = 1.2 states/eV/cell


## c
The following is a GGA-PBE calculation of a relaxed structure of Si2PdPt, from the Alexandria database.

Cell: 4.0174 4.0174 8.4286 Å, 76.21 76.21 90.00°
With the nearest neighbours (Å) after each atom.
Atoms (fractional coordinates):
Pd (0.2500, 0.7500, 0.5000)  4 Si 2.44
Pd (0.5000, 0.5000, 0.0000)  4 Si 2.44
Pt (0.0000, 0.0000, 0.0000)  4 Si 2.44
Pt (0.7500, 0.2500, 0.5000)  4 Si 2.44
Si (0.6262, 0.1250, 0.2500)  2 Pt 2.44, 2 Pd 2.44
Si (0.8750, 0.8762, 0.7500)  2 Pt 2.44, 2 Pd 2.44
Si (0.1238, 0.6250, 0.2500)  2 Pt 2.44, 2 Pd 2.44
Si (0.3750, 0.3738, 0.7500)  2 Pt 2.44, 2 Pd 2.44

Fermi-level density of states = 3.3 states/eV/cell


Most stable of them? c.